Compound: AlSn3I
Source: Alexandria via LeMat-Bulk
Functional: PBE
Structure: relaxed

The structure in POSCAR format:
```
AlSn3I
1.0
5.426 0.000 0.000
0.000 5.426 0.000
0.000 0.000 5.426
Al Sn I
1 3 1
Cartesian
0.000 0.000 0.000 Al
0.000 0.000 2.713 Sn
0.000 2.713 0.000 Sn
2.713 0.000 0.000 Sn
2.713 2.713 2.713 I
```

Results
Space group = No. 221
E_form (uncorrected) = 173 kJ/mol of formula units

***

Compound: Al2SnI8
Source: Alexandria via LeMat-Bulk
Functional: PBE
Structure: relaxed

The structure in POSCAR format:
```
Al2SnI8
1.0
10.662 -5.038 0.000
10.662 5.038 0.000
-8.885 0.000 10.650
Al Sn I
4 2 16
Cartesian
0.197 2.517 10.237 Al
7.800 2.517 5.739 Al
4.639 -2.517 4.912 Al
12.243 -2.517 0.414 Al
8.441 4.957 2.663 Sn
3.998 -4.957 7.988 Sn
3.160 0.457 0.378 I
1.758 2.626 8.187 I
6.387 2.759 3.559 I
-1.282 -0.457 5.704 I
10.494 2.759 1.766 I
-1.100 0.370 10.197 I
6.239 2.626 7.789 I
3.342 -0.370 4.871 I
9.097 0.370 5.779 I
6.200 -2.626 2.862 I
13.539 -0.370 0.454 I
1.945 -2.759 8.884 I
13.721 0.457 4.947 I
6.052 -2.759 7.091 I
10.681 -2.626 2.464 I
9.279 -0.457 10.272 I
```

Results
Space group = No. 15
E_form (uncorrected) = -672 kJ/mol of formula units

***

Compound: Al2Sn2I
Source: Alexandria via LeMat-Bulk
Functional: PBE
Structure: relaxed

The structure in POSCAR format:
```
Al2Sn2I
1.0
8.704 0.000 0.000
0.000 8.704 0.000
0.000 0.000 3.478
Al Sn I
4 4 2
Cartesian
1.102 3.250 0.000 Al
3.250 7.603 0.000 Al
5.454 1.102 0.000 Al
7.603 5.454 0.000 Al
1.455 5.807 1.739 Sn
2.897 1.455 1.739 Sn
5.807 7.250 1.739 Sn
7.250 2.897 1.739 Sn
0.000 0.000 1.739 I
4.352 4.352 1.739 I
```

Results
Space group = No. 127
E_form (uncorrected) = 95 kJ/mol of formula units

***

What did we get for excess energy over the best structure of this formula in the dataset? Answer: 0.0000, 0.0000, 0.0771 eV/atom, in the order shown.